# PBE-GGA TePb4S3, optimized geometry
# raw formation energy: -0.46 eV per atom
# ΔE to the lowest computed polymorph: 14 meV/atom
# theoretical density: 7.2 Mg/m³
data_TePb4S3
_chemical_formula_sum 'Te2 Pb8 S6'
_space_group_name_H-M_alt 'P m n 21'
_space_group_IT_number 31
_cell_length_a 12.235
_cell_length_b 6.247
_cell_length_c 6.309
_cell_angle_alpha 90.00
_cell_angle_beta 90.00
_cell_angle_gamma 90.00
loop_
_space_group_symop_operation_xyz
'x,y,z'
'-x+1/2,-y,z+1/2'
'-x,y,z'
'x+1/2,-y,z+1/2'
loop_
_atom_site_label
_atom_site_type_symbol
_atom_site_fract_x
_atom_site_fract_y
_atom_site_fract_z
Te1 Te 0.000 0.242 0.000
Pb1 Pb 0.000 0.225 0.490
Pb2 Pb 0.000 0.744 0.949
Pb3 Pb 0.237 0.726 0.443
S1 S 0.000 0.757 0.501
S2 S 0.249 0.273 0.494